Model w:
Here is a geometry-optimized Ho8In structure from the Alexandria database. Energies are from GGA-PBE.

Cell: 3.7922 8.6710 8.6710 Å, 87.26 77.37 77.37°
Atoms (fractional coordinates):
Ho  0.6592  0.0000  0.6816
Ho  0.0000  0.3372  0.6628
In  0.0000  0.0000  0.0000
Ho  0.0000  0.6628  0.3372
Ho  0.6628  0.3372  0.3372
Ho  0.3408  0.0000  0.3184
Ho  0.6592  0.6816  0.0000
Ho  0.3372  0.6628  0.6628
Ho  0.3408  0.3184  0.0000

D(E_F) ... 14.95 states/eV/f.u.

---

Model x:
Here is a geometry-optimized Ho8In structure from the Alexandria database. Energies are from GGA-PBE.

Cell: 4.8653 7.8287 7.8287 Å, 84.46 71.90 71.90°
Atoms (fractional coordinates):
Ho  0.6652  0.3348  0.3348
Ho  0.3381  0.0000  0.3237
Ho  0.0000  0.6652  0.3348
Ho  0.0000  0.3348  0.6652
In  0.0000  0.0000  0.0000
Ho  0.6619  0.0000  0.6763
Ho  0.3381  0.3237  0.0000
Ho  0.3348  0.6652  0.6652
Ho  0.6619  0.6763  0.0000

D(E_F) ... 13.76 states/eV/f.u.

---

model x has the most favorable energy; the next structure is 0.061 eV/atom above.